DFT (PBE) results for an optimized crystal structure of LaNbBiAs2.

Output
DOS at the Fermi energy (states/eV per atom): 0.693
E_form (eV/f.u.): -1.47
Uncorrected energy (eV per atom): -5.93
Total moment (μB per formula unit): 0.00
Crystal system: tetragonal
Space group: P4/mmm

```
LaNbBiAs2
1.0
4.976 0.000 0.000
0.000 5.663 0.000
0.000 0.000 4.976
Bi La As Nb
1 1 2 1
direct
0.000 0.500 0.000 Bi
0.500 0.500 0.500 La
0.000 0.000 0.500 As
0.500 0.000 0.000 As
0.000 0.000 0.000 Nb
```

DFT (PBE) results for an optimized crystal structure of La2Ni4BiAs3.

Output
DOS at the Fermi energy (states/eV per atom): 0.512
E_form (eV/f.u.): -7.12
Uncorrected energy (eV per atom): -5.79
Total moment (μB per formula unit): 0.00
Crystal system: tetragonal
Space group: P-4m2

```
La2Ni4BiAs3
1.0
-2.859 -1.969 2.571
1.789 -3.819 -0.935
6.223 1.029 7.707
La Ni Bi As
2 4 1 3
direct
0.500 0.000 0.227 La
0.000 0.500 0.773 La
0.000 0.000 0.000 Ni
0.500 0.500 0.000 Ni
0.500 0.000 0.641 Ni
0.000 0.500 0.359 Ni
0.500 0.500 0.500 Bi
0.000 0.000 0.500 As
0.000 0.500 0.122 As
0.500 0.000 0.878 As
```

DFT (PBE) results for an optimized crystal structure of LaBiAsO.

Output
DOS at the Fermi energy (states/eV per atom): 0.587
Uncorrected energy (eV per atom): -6.08
Total moment (μB per formula unit): 0.00
Crystal system: tetragonal
Formation energy (no corrections) (eV per atom): -1.4711
Space group: P4/nmm

```
LaBiAsO
1.0
-0.939 1.173 -4.094
1.941 -3.614 -1.481
-8.924 -5.039 0.603
La Bi O As
2 2 2 2
direct
0.000 0.500 0.895 La
0.500 0.000 0.105 La
0.000 0.000 0.500 Bi
0.500 0.500 0.500 Bi
0.500 0.500 0.000 O
0.000 0.000 0.000 O
0.000 0.500 0.273 As
0.500 0.000 0.727 As
```

DFT (PBE) results for an optimized crystal structure of La3BiAsO.

Output
DOS at the Fermi energy (states/eV per atom): 0.464
Uncorrected energy (eV per atom): -6.55
Total moment (μB per formula unit): 0.00
Crystal system: monoclinic
Formation energy (no corrections) (eV per atom): -1.8384
Space group: P2_1/m

```
La3BiAsO
1.0
4.358 0.000 0.000
0.000 9.182 0.784
0.000 -2.710 9.066
Bi La As O
2 6 2 2
direct
0.750 0.825 0.773 Bi
0.250 0.175 0.227 Bi
0.250 0.575 0.837 La
0.750 0.888 0.150 La
0.250 0.112 0.850 La
0.250 0.834 0.480 La
0.750 0.425 0.163 La
0.750 0.166 0.520 La
0.750 0.344 0.839 As
0.250 0.656 0.161 As
0.250 0.085 0.591 O
0.750 0.915 0.409 O
```

DFT (PBE) results for an optimized crystal structure of La6BiAs3P2.

Output
DOS at the Fermi energy (states/eV per atom): 0.127
E_form (eV/f.u.): -17.47
Uncorrected energy (eV per atom): -6.31
Total moment (μB per formula unit): 0.00
Crystal system: monoclinic
Space group: C2/m

```
La6BiAs3P2
1.0
4.391 0.000 0.000
0.000 8.822 0.331
-2.196 -2.526 9.243
La As P Bi
6 3 2 1
direct
0.003 0.266 0.006 La
0.997 0.734 0.994 La
0.331 0.420 0.662 La
0.673 0.092 0.346 La
0.669 0.580 0.338 La
0.327 0.908 0.654 La
0.835 0.169 0.670 As
0.165 0.831 0.330 As
0.500 0.500 0.000 As
0.832 0.664 0.663 P
0.168 0.336 0.337 P
0.500 0.000 0.000 Bi
```

DFT (PBE) results for an optimized crystal structure of La4Bi2AsPb.

Output
DOS at the Fermi energy (states/eV per atom): 0.699
E_form (eV/f.u.): -8.00
Uncorrected energy (eV per atom): -5.48
Total moment (μB per formula unit): 0.00
Crystal system: monoclinic
Space group: P2/m

```
La4Bi2AsPb
1.0
4.571 0.000 0.000
0.000 7.929 -0.158
0.000 2.793 7.628
La Bi Pb As
4 2 1 1
direct
0.500 0.266 0.734 La
0.000 0.742 0.741 La
0.500 0.734 0.266 La
0.000 0.258 0.259 La
0.000 0.000 0.000 Bi
0.500 0.000 0.500 Bi
0.500 0.500 0.000 Pb
0.000 0.500 0.500 As
```

DFT (PBE) results for an optimized crystal structure of LaBi2AsPb.

Output
DOS at the Fermi energy (states/eV per atom): 0.587
E_form (eV/f.u.): -0.43
Uncorrected energy (eV per atom): -4.29
Total moment (μB per formula unit): 0.00
Crystal system: tetragonal
Space group: P4/mmm

```
LaBi2AsPb
1.0
5.615 0.000 0.000
0.000 5.676 0.000
0.000 0.000 5.615
La Bi Pb As
1 2 1 1
direct
0.000 0.500 0.000 La
0.000 0.000 0.500 Bi
0.500 0.000 0.000 Bi
0.500 0.500 0.500 Pb
0.000 0.000 0.000 As
```

DFT (PBE) results for an optimized crystal structure of LaBiAs2Pt.

Output
DOS at the Fermi energy (states/eV per atom): 0.780
E_form (eV/f.u.): -1.09
Uncorrected energy (eV per atom): -5.05
Total moment (μB per formula unit): 0.00
Crystal system: tetragonal
Space group: P4/mmm

```
LaBiAs2Pt
1.0
-2.542 3.997 1.359
-0.341 -1.998 5.236
4.211 2.288 1.147
Pt Bi La As
1 1 1 2
direct
0.000 0.000 0.000 Pt
0.000 0.500 0.000 Bi
0.500 0.500 0.500 La
0.500 0.000 0.000 As
0.000 0.000 0.500 As
```